No. 1
Here is a PBEsol-optimized structure of SrCa2Ni from Alexandria via LeMat-Bulk. Energies are from meta-GGA SCAN.

CIF file:
```
data_SrCa2Ni
_cell_length_a 7.6353
_cell_length_b 7.6353
_cell_length_c 7.6353
_cell_angle_alpha 90.00
_cell_angle_beta 90.00
_cell_angle_gamma 90.00
_symmetry_space_group_name_H-M 'F m -3 m'
_symmetry_Int_Tables_number 225
_symmetry_space_group_name_Hall '-F 4 2 3'
loop_
_atom_site_label
_atom_site_fract_x
_atom_site_fract_y
_atom_site_fract_z
_atom_site_occupancy
Sr1 0.0000 0.0000 0.0000 1
Ca1 0.2500 0.2500 0.2500 1
Ni1 0.0000 0.0000 0.5000 1
```

Properties
- calculated formation energy (eV/atom) = 0.420
- density of states at the Fermi level (states/eV per cell) = 21.5
- energy relative to the lowest polymorph listed for this composition (eV per atom) = 0.3265
- energy (eV/atom) = -14.023

No. 2
Here is a PBEsol-optimized structure of Sr2CaNi from Alexandria via LeMat-Bulk. Energies are from meta-GGA SCAN.

CIF file:
```
data_Sr2CaNi
_cell_length_a 5.1974
_cell_length_b 5.1974
_cell_length_c 4.6789
_cell_angle_alpha 90.00
_cell_angle_beta 90.00
_cell_angle_gamma 90.00
_symmetry_space_group_name_H-M 'P 4/m m m'
_symmetry_Int_Tables_number 123
_symmetry_space_group_name_Hall '-P 4 2'
loop_
_atom_site_label
_atom_site_fract_x
_atom_site_fract_y
_atom_site_fract_z
_atom_site_occupancy
Sr1 0.0000 0.5000 0.0000 1
Ca1 0.0000 0.0000 0.5000 1
Ni1 0.5000 0.5000 0.5000 1
```

Properties
- calculated formation energy (eV/atom) = 0.430
- density of states at the Fermi level (states/eV per cell) = 4.4
- energy relative to the lowest polymorph listed for this composition (eV per atom) = 0.2823
- energy (eV/atom) = -17.167